Ti2CoPbO6 | PBE with a Hubbard U | optimized geometry

a = 7.9688 Å, b = 7.9688 Å, c = 6.1272 Å
α = 106.57°, β = 106.57°, γ = 87.28°
Element x y z (fractional)
Ti 0.1516 0.3346 0.2056
Ti 0.3346 0.1516 0.7056
Ti 0.6654 0.8484 0.2944
Ti 0.8484 0.6654 0.7944
Co 0.2141 0.7859 0.2500
Co 0.7859 0.2141 0.7500
Pb 0.3132 0.6868 0.7500
Pb 0.6868 0.3132 0.2500
O 0.0783 0.7450 0.9123
O 0.1629 0.5695 0.3151
O 0.2550 0.9217 0.5877
O 0.2635 0.2659 0.4735
O 0.2659 0.2635 0.9735
O 0.4305 0.8371 0.1849
O 0.5695 0.1629 0.8151
O 0.7341 0.7365 0.0265
O 0.7365 0.7341 0.5265
O 0.7450 0.0783 0.4123
O 0.8371 0.4305 0.6849
O 0.9217 0.2550 0.0877

VASP energy: -7.674 eV/atom
Calculated volume: 17.86 Å³/atom